The following is a PBE calculation of crystalline TlAs2 at its relaxed geometry, from Alexandria.

Output
DOS(E_F)	2.76	states/eV/cell
total DFT energy (no corrections)	-9.9	eV/cell

Cell lengths 4.8424, 4.8424, 4.8424 Å; angles 60.00, 60.00, 60.00 degrees
Closest atoms and distances in Å follow each position.
Positions (direct):
Tl1 0.0000 0.0000 0.0000  8 As 2.97
As1 0.2500 0.2500 0.2500  4 Tl 2.97
As2 0.7500 0.7500 0.7500  4 Tl 2.97

=====

The following is a PBE calculation of crystalline TlAs5 at its relaxed geometry, from Alexandria.

Output
excess energy over the best structure of this formula in the dataset	4	meV/atom
DOS(E_F)	2.29	states/eV/cell
total DFT energy (no corrections)	-24.7	eV/cell

Cell lengths 6.0225, 6.0225, 8.0246 Å; angles 110.75, 110.75, 34.25 degrees
Closest atoms and distances in Å follow each position.
Positions (direct):
Tl1 0.0000 0.0000 0.0000  8 As 3.32-3.66, 2 Tl 3.55
As1 0.2631 0.2631 0.7130  2 As 2.49
As2 0.3092 0.3092 0.2067  4 As 2.64-2.70
As3 0.6142 0.6142 0.7249  2 As 2.49
As4 0.7525 0.7525 0.4075  3 As 2.49-2.64
As5 0.9726 0.9726 0.4249  3 As 2.49-2.70

=====

The following is a PBE calculation of crystalline TlAs2 at its relaxed geometry, from Alexandria.

Output
DOS(E_F)	1.88	states/eV/cell
total DFT energy (no corrections)	-23.2	eV/cell

Cell lengths 6.2690, 6.2690, 8.9306 Å; angles 120.52, 120.52, 33.46 degrees
Closest atoms and distances in Å follow each position.
Positions (direct):
Tl1 0.1877 0.1877 0.1543  8 As 3.32-3.55, 2 Tl 3.61
Tl2 0.8123 0.8123 0.8457  8 As 3.32-3.55, 2 Tl 3.61
As1 0.0871 0.0871 0.4596  3 As 2.48-2.55
As2 0.4928 0.4928 0.2347  2 As 2.48
As3 0.5072 0.5072 0.7653  2 As 2.48
As4 0.9129 0.9129 0.5404  3 As 2.48-2.55

=====

The following is a PBE calculation of crystalline TlAs3 at its relaxed geometry, from Alexandria.

Output
excess energy over the best structure of this formula in the dataset	103	meV/atom
DOS(E_F)	3.01	states/eV/cell
total DFT energy (no corrections)	-15.3	eV/cell

Cell lengths 3.6824, 3.6824, 8.0052 Å; angles 90.00, 90.00, 120.00 degrees
Closest atoms and distances in Å follow each position.
Positions (direct):
Tl1 0.0000 0.0000 0.0000  6 As 3.12
As1 0.0000 0.0000 0.5000  6 As 2.73
As2 0.3333 0.6667 0.2857  3 As 2.73
As3 0.3333 0.6667 0.7143  3 As 2.73

=====

The following is a PBE calculation of crystalline TlAs3 at its relaxed geometry, from Alexandria.

Output
excess energy over the best structure of this formula in the dataset	159	meV/atom
DOS(E_F)	2.63	states/eV/cell
total DFT energy (no corrections)	-15.0	eV/cell

Cell lengths 5.8930, 5.8930, 5.8930 Å; angles 146.01, 122.73, 68.30 degrees
Closest atoms and distances in Å follow each position.
Positions (direct):
Tl1 0.0000 0.0000 0.0000  12 As 3.31-3.44, 2 Tl 3.45
As1 0.2993 0.7993 0.5000  2 As 2.61
As2 0.5000 0.5000 0.0000  4 As 2.61
As3 0.7007 0.2007 0.5000  2 As 2.61

=====

The following is a PBE calculation of crystalline TlAs3 at its relaxed geometry, from Alexandria.

Output
excess energy over the best structure of this formula in the dataset	69	meV/atom
DOS(E_F)	4.40	states/eV/cell
total DFT energy (no corrections)	-30.8	eV/cell

Cell lengths 12.7547, 12.7547, 12.7547 Å; angles 162.09, 162.09, 25.43 degrees
Closest atoms and distances in Å follow each position.
Positions (direct):
Tl1 0.1453 0.1453 0.0000  8 As 3.27-3.28
Tl2 0.8547 0.8547 0.0000  8 As 3.27-3.28
As1 0.0000 0.5000 0.5000  8 As 2.78-2.81
As2 0.2500 0.7500 0.5000  4 As 2.81
As3 0.4219 0.4219 0.0000  4 As 2.78
As4 0.5000 0.0000 0.5000  8 As 2.78-2.81
As5 0.5781 0.5781 0.0000  4 As 2.78
As6 0.7500 0.2500 0.5000  4 As 2.81

=====

The following is a PBE calculation of crystalline Tl3As at its relaxed geometry, from Alexandria.

Output
DOS(E_F)	3.21	states/eV/cell
total DFT energy (no corrections)	-23.4	eV/cell

Cell lengths 7.3116, 4.3474, 7.8702 Å; angles 90.00, 103.92, 90.00 degrees
Closest atoms and distances in Å follow each position.
Positions (direct):
Tl1 0.0834 0.2500 0.3579  2 As 3.05
Tl2 0.2285 0.2500 0.9355  2 As 3.08
Tl3 0.4007 0.7500 0.6488  3 As 3.05-3.26
Tl4 0.5993 0.2500 0.3512  3 As 3.05-3.26
Tl5 0.7715 0.7500 0.0645  2 As 3.08
Tl6 0.9166 0.7500 0.6421  2 As 3.05
As1 0.3051 0.7500 0.2221  7 Tl 3.05-3.26
As2 0.6949 0.2500 0.7779  7 Tl 3.05-3.26

=====

The following is a PBE calculation of crystalline TlAs4 at its relaxed geometry, from Alexandria.

Output
excess energy over the best structure of this formula in the dataset	517	meV/atom
DOS(E_F)	5.38	states/eV/cell
total DFT energy (no corrections)	-17.0	eV/cell

Cell lengths 5.5738, 5.5738, 5.5738 Å; angles 109.47, 109.47, 109.47 degrees
Closest atoms and distances in Å follow each position.
Positions (direct):
Tl1 0.0000 0.0000 0.0000  8 As 2.79
As1 0.0000 0.0000 0.5000  2 Tl 2.79
As2 0.0000 0.5000 0.0000  2 Tl 2.79
As3 0.5000 0.0000 0.0000  2 Tl 2.79
As4 0.5000 0.5000 0.5000  2 Tl 2.79

=====

The following is a PBE calculation of crystalline TlAs2 at its relaxed geometry, from Alexandria.

Output
DOS(E_F)	1.12	states/eV/cell
total DFT energy (no corrections)	-22.9	eV/cell

Cell lengths 8.8798, 8.8798, 5.3059 Å; angles 90.00, 90.00, 156.62 degrees
Closest atoms and distances in Å follow each position.
Positions (direct):
Tl1 0.0757 0.9243 0.7500  6 As 3.27-3.53, 2 Tl 3.60
Tl2 0.9243 0.0757 0.2500  6 As 3.27-3.53, 2 Tl 3.60
As1 0.2101 0.7899 0.2500  2 As 2.45
As2 0.3859 0.6141 0.7500  2 As 2.45
As3 0.6141 0.3859 0.2500  2 As 2.45
As4 0.7899 0.2101 0.7500  2 As 2.45

=====

The following is a PBE calculation of crystalline TlAs2 at its relaxed geometry, from Alexandria.

Output
DOS(E_F)	0.91	states/eV/cell
total DFT energy (no corrections)	-11.4	eV/cell

Cell lengths 6.5070, 6.5070, 6.5070 Å; angles 148.75, 148.75, 44.78 degrees
Closest atoms and distances in Å follow each position.
Positions (direct):
Tl1 0.0000 0.0000 0.0000  4 Tl 3.50, 10 As 3.51-3.54
As1 0.2940 0.2940 0.0000  4 As 2.70
As2 0.7060 0.7060 0.0000  4 As 2.70

=====

The following is a PBE calculation of crystalline TlAs3 at its relaxed geometry, from Alexandria.

Output
excess energy over the best structure of this formula in the dataset	0	meV/atom
DOS(E_F)	1.92	states/eV/cell
total DFT energy (no corrections)	-15.7	eV/cell

Cell lengths 5.5092, 5.5092, 5.8607 Å; angles 108.66, 108.66, 37.36 degrees
Closest atoms and distances in Å follow each position.
Positions (direct):
Tl1 0.0000 0.0000 0.0000  12 As 3.42-3.61, 2 Tl 3.53
As1 0.2126 0.2126 0.6263  4 As 2.59-2.73
As2 0.5000 0.5000 0.5000  4 As 2.73
As3 0.7874 0.7874 0.3737  4 As 2.59-2.73

=====

The following is a PBE calculation of crystalline Tl3As at its relaxed geometry, from Alexandria.

Output
DOS(E_F)	2.06	states/eV/cell
total DFT energy (no corrections)	-11.1	eV/cell

Cell lengths 6.5313, 6.5313, 6.5313 Å; angles 117.46, 117.46, 117.46 degrees
Closest atoms and distances in Å follow each position.
Positions (direct):
Tl1 0.0000 0.5000 0.5000  6 Tl 3.16-3.39, 2 As 3.39
Tl2 0.5000 0.0000 0.5000  6 Tl 3.16-3.39, 2 As 3.39
Tl3 0.5000 0.5000 0.0000  6 Tl 3.16-3.39, 2 As 3.39
As1 0.0000 0.0000 0.0000  2 As 3.16, 6 Tl 3.39

=====

The following is a PBE calculation of crystalline Tl3As2 at its relaxed geometry, from Alexandria.

Output
excess energy over the best structure of this formula in the dataset	67	meV/atom
DOS(E_F)	1.87	states/eV/cell
total DFT energy (no corrections)	-15.9	eV/cell

Cell lengths 4.8018, 4.8018, 7.3733 Å; angles 90.00, 90.00, 120.00 degrees
Closest atoms and distances in Å follow each position.
Positions (direct):
Tl1 0.0000 0.0000 0.0000  6 As 3.28
Tl2 0.3333 0.6667 0.3495  4 As 2.89-3.05
Tl3 0.6667 0.3333 0.6505  4 As 2.89-3.05
As1 0.3333 0.6667 0.7632  4 Tl 2.89-3.05
As2 0.6667 0.3333 0.2368  4 Tl 2.89-3.05

=====

The following is a PBE calculation of crystalline TlAs at its relaxed geometry, from Alexandria.

Output
DOS(E_F)	0.44	states/eV/cell
total DFT energy (no corrections)	-6.8	eV/cell

Cell lengths 4.4935, 4.4935, 4.4935 Å; angles 60.00, 60.00, 60.00 degrees
Closest atoms and distances in Å follow each position.
Positions (direct):
Tl1 0.0000 0.0000 0.0000  4 As 2.75
As1 0.7500 0.7500 0.7500  4 Tl 2.75